Entry from Alexandria via LeMat-Bulk: crystalline ZrP2 at its relaxed geometry (GGA-PBE).

Values from the calculation:
Space-group type: P6_3/mmc, No. 194
Energy of formation in meV/atom: -552

Unit cell a=4.789 b=4.789 c=5.105 alpha=90.00 beta=90.00 gamma=120.00
Positions (direct):
Zr: 0.667 0.333 0.250
Zr: 0.333 0.667 0.750
P: 0.000 0.000 0.000
P: 0.000 0.000 0.500
P: 0.333 0.667 0.250
P: 0.667 0.333 0.750